[1]
# PtI2O | Alexandria | PBE | optimized geometry
# Energy relative to the elements, uncorrected ... 0.486 eV/atom
# Polymorph energy (0 for the lowest one) ... 0 meV/atom
# SG ... I-42d (122)
data_PtI2O
_chemical_formula_sum 'Pt2 I4 O2'
_symmetry_space_group_name_H-M 'P 1'
_symmetry_Int_Tables_number 1
_cell_length_a 5.533
_cell_length_b 5.533
_cell_length_c 7.621
_cell_angle_alpha 68.72
_cell_angle_beta 68.72
_cell_angle_gamma 90.00
loop_
_symmetry_equiv_pos_as_xyz
'x,y,z'
loop_
_atom_site_label
_atom_site_type_symbol
_atom_site_fract_x
_atom_site_fract_y
_atom_site_fract_z
_atom_site_occupancy
I1 I 0.159 0.625 0.250 1
I2 I 0.591 0.125 0.250 1
Pt1 Pt 0.000 0.000 0.000 1
I3 I 0.875 0.841 0.750 1
Pt2 Pt 0.750 0.250 0.500 1
I4 I 0.375 0.409 0.750 1
O1 O 0.250 0.750 0.500 1
O2 O 0.500 0.500 0.000 1


[2]
# BaMnV2Fe | Alexandria | PBE | optimized geometry
# ΔE_f ... 1611 meV/atom
# SG ... P4/mmm (123)
data_BaMnV2Fe
_chemical_formula_sum 'Ba1 Mn1 V2 Fe1'
_symmetry_space_group_name_H-M 'P 1'
_symmetry_Int_Tables_number 1
_cell_length_a 4.307
_cell_length_b 5.476
_cell_length_c 4.307
_cell_angle_alpha 90.00
_cell_angle_beta 90.00
_cell_angle_gamma 90.00
loop_
_symmetry_equiv_pos_as_xyz
'x,y,z'
loop_
_atom_site_label
_atom_site_type_symbol
_atom_site_fract_x
_atom_site_fract_y
_atom_site_fract_z
_atom_site_occupancy
V1 V 0.500 0.000 0.000 1
Ba1 Ba 0.000 0.500 0.000 1
Fe1 Fe 0.500 0.500 0.500 1
Mn1 Mn 0.000 0.000 0.000 1
V2 V 0.000 0.000 0.500 1


Repeat the second record exactly.
# BaMnV2Fe | Alexandria | PBE | optimized geometry
# ΔE_f ... 1611 meV/atom
# SG ... P4/mmm (123)
data_BaMnV2Fe
_chemical_formula_sum 'Ba1 Mn1 V2 Fe1'
_symmetry_space_group_name_H-M 'P 1'
_symmetry_Int_Tables_number 1
_cell_length_a 4.307
_cell_length_b 5.476
_cell_length_c 4.307
_cell_angle_alpha 90.00
_cell_angle_beta 90.00
_cell_angle_gamma 90.00
loop_
_symmetry_equiv_pos_as_xyz
'x,y,z'
loop_
_atom_site_label
_atom_site_type_symbol
_atom_site_fract_x
_atom_site_fract_y
_atom_site_fract_z
_atom_site_occupancy
V1 V 0.500 0.000 0.000 1
Ba1 Ba 0.000 0.500 0.000 1
Fe1 Fe 0.500 0.500 0.500 1
Mn1 Mn 0.000 0.000 0.000 1
V2 V 0.000 0.000 0.500 1